No. 1
Here is a geometry-optimized PmPrI3 structure from Alexandria via LeMat-Bulk. Energies are from PBE.

The structure belongs to space group C2/m (No. 12); the cell edges are 7.368, 14.279 and 7.363 Å and the angles 90.00°, 113.88° and 90.00°. The inequivalent atoms are Pm at (0.000, 0.185, 0.000), Pr at (0.000, 0.317, 0.500), I at (0.245, 0.000, 0.248) and I at (0.250, 0.140, 0.754).

Its formation energy (no corrections) is -5.6 eV/f.u. The total magnetization comes out at 0.00 μB/cell. As for the energy above the lowest structure with this stoichiometry: 0.000 eV/atom.


No. 2
Here is a geometry-optimized YMg2Ni2 structure from Alexandria via LeMat-Bulk. Energies are from PBE.

The structure belongs to space group P4/mbm (No. 127); the cell edges are 6.972, 6.972 and 3.799 Å and the angles 90.00°, 90.00° and 90.00°. The inequivalent atoms are Y at (0.000, 0.000, 0.000), Mg at (0.158, 0.342, 0.500) and Ni at (0.123, 0.623, 0.000).

The total magnetization comes out at 0.00 μB/cell. As for the energy relative to the elements: -0.15 eV per atom. As for the energy above the lowest structure with this stoichiometry: 0.070 eV/atom.


No. 3
Here is a geometry-optimized Pr6Co2PdI3 structure from Alexandria via LeMat-Bulk. Energies are from PBE.

The structure belongs to space group C2/m (No. 12); the cell edges are 20.269, 4.165 and 9.496 Å and the angles 90.00°, 112.87° and 90.00°. The inequivalent atoms are Pr at (0.023, 0.000, 0.230), Pr at (0.160, 0.500, 0.135), Pr at (0.183, 0.500, 0.549), Co at (0.168, 0.000, 0.337), Pd at (0.000, 0.500, 0.000), I at (0.000, 0.500, 0.500) and I at (0.165, 0.000, 0.834).

Its formation energy (no corrections) is -8.2 eV/f.u. The total magnetization comes out at 0.00 μB/cell.


No. 4
Here is a geometry-optimized Na2CdTePb structure from Alexandria via LeMat-Bulk. Energies are from PBE.

The structure belongs to space group P4/mmm (No. 123); the cell edges are 5.644, 5.644 and 6.446 Å and the angles 90.00°, 90.00° and 90.00°. The inequivalent atoms are Na at (0.000, 0.500, 0.000), Cd at (0.000, 0.000, 0.500), Te at (0.500, 0.500, 0.000) and Pb at (0.500, 0.500, 0.500).

Its formation energy (no corrections) is -0.4 eV/f.u. The total magnetization comes out at 0.00 μB/cell. As for the energy above the lowest structure with this stoichiometry: 0.000 eV/atom.


No. 5
Here is a geometry-optimized AlSn3N structure from Alexandria via LeMat-Bulk. Energies are from PBE.

The structure belongs to space group Pm-3m (No. 221); the cell edges are 5.188, 5.188 and 5.188 Å and the angles 90.00°, 90.00° and 90.00°. The inequivalent atoms are Al at (0.000, 0.000, 0.000), Sn at (0.000, 0.000, 0.500) and N at (0.500, 0.500, 0.500).

Its formation energy (no corrections) is 7.2 eV/f.u. The total magnetization comes out at 0.00 μB/cell. As for the energy above the lowest structure with this stoichiometry: 0.916 eV/atom.


No. 6
Here is a geometry-optimized CdHg2Pt2 structure from Alexandria via LeMat-Bulk. Energies are from PBE.

The structure belongs to space group I4/mmm (No. 139); the cell edges are 3.896, 3.896 and 13.981 Å and the angles 90.00°, 90.00° and 90.00°. The inequivalent atoms are Cd at (0.000, 0.000, 0.000), Hg at (0.000, 0.000, 0.397) and Pt at (0.000, 0.500, 0.250).

The total magnetization comes out at 0.00 μB/cell. As for the energy relative to the elements: 0.14 eV per atom. As for the energy above the lowest structure with this stoichiometry: 0.215 eV/atom.


No. 7
Here is a geometry-optimized CsY2PtAu structure from Alexandria via LeMat-Bulk. Energies are from PBE.

The structure belongs to space group P4/mmm (No. 123); the cell edges are 5.573, 5.573 and 5.048 Å and the angles 90.00°, 90.00° and 90.00°. The inequivalent atoms are Cs at (0.000, 0.000, 0.000), Y at (0.000, 0.500, 0.000), Pt at (0.000, 0.000, 0.500) and Au at (0.500, 0.500, 0.500).

The total magnetization comes out at 0.00 μB/cell. As for the energy relative to the elements: 1.33 eV per atom.


No. 8
Here is a geometry-optimized NdLuMg structure from Alexandria via LeMat-Bulk. Energies are from PBE.

The structure belongs to space group P3m1 (No. 156); the cell edges are 5.4605, 5.4605 and 3.4148 Å and the angles 90.00°, 90.00° and 120.00°. The inequivalent atoms are Nd at (0.0000, 0.0000, 0.0000), Lu at (0.3333, 0.6667, 0.4340) and Mg at (0.6667, 0.3333, 0.6695).

The total magnetization comes out at 0.00 μB/cell. As for the energy relative to the elements: 0.05 eV per atom. As for the energy above the lowest structure with this stoichiometry: 0.087 eV/atom.


No. 9
Here is a geometry-optimized La2PaSe5 structure from Alexandria via LeMat-Bulk. Energies are from PBE.

The structure belongs to space group Cmcm (No. 63); the cell edges are 5.746, 14.527 and 14.150 Å and the angles 90.00°, 90.00° and 90.00°. The inequivalent atoms are La at (0.000, 0.145, 0.062), Pa at (0.000, 0.193, 0.750), Se at (0.000, 0.048, 0.621), Se at (0.000, 0.262, 0.250) and Se at (0.000, 0.306, 0.581).

Its formation energy (no corrections) is -13.7 eV/f.u. The total magnetization comes out at 4.09 μB/cell. As for the energy above the lowest structure with this stoichiometry: 0.109 eV/atom.


No. 10
Here is a geometry-optimized BaCa3Mg structure from Alexandria via LeMat-Bulk. Energies are from PBE.

The structure belongs to space group Pm-3m (No. 221); the cell edges are 5.941, 5.941 and 5.941 Å and the angles 90.00°, 90.00° and 90.00°. The inequivalent atoms are Ba at (0.000, 0.000, 0.000), Ca at (0.000, 0.000, 0.500) and Mg at (0.500, 0.500, 0.500).

The total magnetization comes out at 0.00 μB/cell. As for the energy relative to the elements: 0.97 eV per atom. As for the energy above the lowest structure with this stoichiometry: 0.932 eV/atom.


No. 11
Here is a geometry-optimized Ta4InSe8 structure from Alexandria via LeMat-Bulk. Energies are from PBE.

The structure belongs to space group R-3m (No. 166, hexagonal axes); the cell edges are 7.0011, 7.0011 and 24.7057 Å and the angles 90.00°, 90.00° and 120.00°. The inequivalent atoms are Ta at (0.0000, 0.0000, 0.0000), Ta at (0.0000, 0.5000, 0.0000), In at (0.0000, 0.0000, 0.5000), Se at (0.0000, 0.0000, 0.2660) and Se at (0.0006, 0.5003, 0.7341).

Its formation energy (no corrections) is -9.3 eV/f.u. The total magnetization comes out at 0.00 μB/cell. As for the energy above the lowest structure with this stoichiometry: 0.016 eV/atom.


No. 12
Here is a geometry-optimized SmGeCl2 structure from Alexandria via LeMat-Bulk. Energies are from PBE.

The structure belongs to space group R-3m (No. 166, hexagonal axes); the cell edges are 3.5726, 3.5726 and 29.9420 Å and the angles 90.00°, 90.00° and 120.00°. The inequivalent atoms are Sm at (0.0000, 0.0000, 0.0000), Ge at (0.0000, 0.0000, 0.5000) and Cl at (0.0000, 0.0000, 0.0876).

Its formation energy (no corrections) is -2.2 eV/f.u. The total magnetization comes out at 0.00 μB/cell.


No. 13
Here is a geometry-optimized Li2MgVB structure from Alexandria via LeMat-Bulk. Energies are from PBE.

The structure belongs to space group P4/mmm (No. 123); the cell edges are 4.154, 4.154 and 4.379 Å and the angles 90.00°, 90.00° and 90.00°. The inequivalent atoms are Li at (0.000, 0.500, 0.000), Mg at (0.000, 0.000, 0.500), V at (0.500, 0.500, 0.500) and B at (0.000, 0.000, 0.000).

The total magnetization comes out at 0.06 μB/cell. As for the energy relative to the elements: 0.93 eV per atom.


No. 14
Here is a geometry-optimized Rb3CeU2Se6 structure from Alexandria via LeMat-Bulk. Energies are from PBE.

The structure belongs to space group C2/m (No. 12); the cell edges are 7.443, 12.892 and 8.434 Å and the angles 90.00°, 107.11° and 90.00°. The inequivalent atoms are Rb at (0.000, 0.000, 0.000), Rb at (0.000, 0.335, 0.000), Ce at (0.000, 0.500, 0.500), U at (0.000, 0.167, 0.500), Se at (0.226, 0.000, 0.699) and Se at (0.237, 0.330, 0.699).

Its formation energy (no corrections) is -16.3 eV/f.u. The total magnetization comes out at 14.01 μB/cell.


No. 15
Here is a geometry-optimized SmAl2Br8 structure from Alexandria via LeMat-Bulk. Energies are from PBE.

The structure belongs to space group C2/m (No. 12); the cell edges are 13.821, 9.888 and 6.831 Å and the angles 90.00°, 98.52° and 90.00°. The inequivalent atoms are Sm at (0.000, 0.000, 0.000), Al at (0.192, 0.000, 0.648), Br at (0.102, 0.183, 0.760), Br at (0.146, 0.500, 0.225) and Br at (0.181, 0.000, 0.292).

Its formation energy (no corrections) is -13.4 eV/f.u. The total magnetization comes out at 2.01 μB/cell.


No. 16
Here is a geometry-optimized Cu6PtAu2 structure from Alexandria via LeMat-Bulk. Energies are from PBE.

The structure belongs to space group C2/m (No. 12); the cell edges are 9.088, 7.508 and 4.350 Å and the angles 90.00°, 117.15° and 90.00°. The inequivalent atoms are Cu at (0.000, 0.185, 0.000), Cu at (0.162, 0.303, 0.661), Pt at (0.000, 0.000, 0.500) and Au at (0.167, 0.500, 0.166).

The total magnetization comes out at 0.00 μB/cell. As for the energy relative to the elements: 0.05 eV per atom. As for the energy above the lowest structure with this stoichiometry: 0.076 eV/atom.


No. 17
Here is a geometry-optimized ErZn4Ir2 structure from Alexandria via LeMat-Bulk. Energies are from PBE.

The structure belongs to space group P4_2/mnm (No. 136); the cell edges are 7.577, 7.577 and 4.119 Å and the angles 90.00°, 90.00° and 90.00°. The inequivalent atoms are Er at (0.000, 0.000, 0.000), Zn at (0.096, 0.350, 0.500) and Ir at (0.212, 0.788, 0.500).

The total magnetization comes out at 0.00 μB/cell. As for the energy relative to the elements: -0.39 eV per atom.


No. 18
Here is a geometry-optimized HoZn4Au8 structure from Alexandria via LeMat-Bulk. Energies are from PBE.

The structure belongs to space group R-3m (No. 166, hexagonal axes); the cell edges are 7.0799, 7.0799 and 18.4901 Å and the angles 90.00°, 90.00° and 120.00°. The inequivalent atoms are Ho at (0.0000, 0.0000, 0.0000), Zn at (0.0000, 0.0000, 0.5000), Zn at (0.0000, 0.5000, 0.0000), Au at (0.0000, 0.0000, 0.2505) and Au at (0.0589, 0.5294, 0.7883).

The total magnetization comes out at 0.00 μB/cell. As for the energy relative to the elements: -0.08 eV per atom. As for the energy above the lowest structure with this stoichiometry: 0.264 eV/atom.


No. 19
Here is a geometry-optimized CdAgSb2 structure from Alexandria via LeMat-Bulk. Energies are from PBE.

The structure belongs to space group P4/mmm (No. 123); the cell edges are 3.210, 3.210 and 9.591 Å and the angles 90.00°, 90.00° and 90.00°. The inequivalent atoms are Cd at (0.000, 0.000, 0.000), Ag at (0.000, 0.000, 0.500) and Sb at (0.500, 0.500, 0.274).

Its formation energy (no corrections) is 0.6 eV/f.u. The total magnetization comes out at 0.00 μB/cell. As for the energy above the lowest structure with this stoichiometry: 0.066 eV/atom.


No. 20
Here is a geometry-optimized BaZnW structure from Alexandria via LeMat-Bulk. Energies are from PBE.

The structure belongs to space group F-43m (No. 216); the cell edges are 7.096, 7.096 and 7.096 Å and the angles 90.00°, 90.00° and 90.00°. The inequivalent atoms are Ba at (0.000, 0.000, 0.000), Zn at (0.250, 0.250, 0.250) and W at (0.000, 0.000, 0.500).

The total magnetization comes out at 13.82 μB/cell. As for the energy relative to the elements: 1.48 eV per atom. As for the energy above the lowest structure with this stoichiometry: 0.600 eV/atom.


No. 21
Here is a geometry-optimized LiPd3O6 structure from Alexandria via LeMat-Bulk. Energies are from PBE.

The structure belongs to space group Cmmm (No. 65); the cell edges are 7.191, 10.310 and 3.100 Å and the angles 90.00°, 90.00° and 90.00°. The inequivalent atoms are Li at (0.000, 0.000, 0.000), Pd at (0.000, 0.500, 0.000), Pd at (0.250, 0.250, 0.500), O at (0.000, 0.164, 0.500) and O at (0.209, 0.374, 0.000).

Its formation energy (no corrections) is -6.0 eV/f.u. The total magnetization comes out at 0.00 μB/cell.


No. 22
Here is a geometry-optimized SrLiTb2Tl4 structure from Alexandria via LeMat-Bulk. Energies are from PBE.

The structure belongs to space group R-3m (No. 166, hexagonal axes); the cell edges are 5.3388, 5.3388 and 27.4538 Å and the angles 90.00°, 90.00° and 120.00°. The inequivalent atoms are Sr at (0.0000, 0.0000, 0.0000), Li at (0.0000, 0.0000, 0.5000), Tb at (0.0000, 0.0000, 0.2427), Tl at (0.0000, 0.0000, 0.1273) and Tl at (0.0000, 0.0000, 0.3850).

The total magnetization comes out at 0.00 μB/cell. As for the energy relative to the elements: -0.30 eV per atom.


No. 23
Here is a geometry-optimized BeSn structure from Alexandria via LeMat-Bulk. Energies are from PBE.

The structure belongs to space group P1 (No. 1); the cell edges are 3.194, 3.236 and 4.433 Å and the angles 111.10°, 110.93° and 90.46°. The inequivalent atoms are Be at (0.000, 0.000, 0.000) and Sn at (0.749, 0.258, 0.501).

The total magnetization comes out at 0.00 μB/cell. As for the energy relative to the elements: 0.40 eV per atom. As for the energy above the lowest structure with this stoichiometry: 0.171 eV/atom.


No. 24
Here is a geometry-optimized Rb2BaZr3S8 structure from Alexandria via LeMat-Bulk. Energies are from PBE.

The structure belongs to space group R3m (No. 160, hexagonal axes); the cell edges are 7.8219, 7.8219 and 23.4581 Å and the angles 90.00°, 90.00° and 120.00°. The inequivalent atoms are Rb at (0.0000, 0.0000, 0.0000), Rb at (0.0000, 0.0000, 0.3600), Ba at (0.0000, 0.0000, 0.7337), Zr at (0.0051, 0.5025, 0.8631), S at (0.0000, 0.0000, 0.1346), S at (0.0000, 0.0000, 0.5920), S at (0.0313, 0.5157, 0.1352) and S at (0.1794, 0.3588, 0.9192).

Its formation energy (no corrections) is -20.7 eV/f.u. The total magnetization comes out at 0.00 μB/cell.